First-principles (PBE with a Hubbard U) data for crystalline VFeO3 at its relaxed geometry, as listed in Alexandria via LeMat-Bulk.

a = 6.162 Å, b = 5.213 Å, c = 7.097 Å
α = 90.00°, β = 98.81°, γ = 90.00°
Space group P2_1/c (No. 14)
Inequivalent atoms, fractional coordinates:
V: 0.110 0.249 0.090
Fe: 0.306 0.725 0.264
O: 0.061 0.067 0.338
O: 0.200 0.597 0.507
O: 0.379 0.142 0.669

As for the total energy: -7.36 eV per atom. Its volume is 225.3 Å³ per cell.